Density functional theory data (meta-GGA SCAN) for a crystal of Y3Ag2 relaxed with PBEsol.

Calculated values
Mass density ... 6.44 g cm⁻³
Final energy ... -29.56 eV per atom
V ... 124.38 Å³/f.u.

Unit cell a=8.1902 b=8.1902 c=3.7083 alpha=90.00 beta=90.00 gamma=90.00
With the nearest neighbours (Å) after each atom.
Space group P4/mbm (No. 127)
Asymmetric unit:
Y: 0.0000 0.0000 0.0000  4 Ag 3.23, 8 Y 3.57
Y: 0.1668 0.3332 0.5000  6 Ag 3.03-3.05
Ag: 0.1261 0.6261 0.0000  1 Ag 2.92, 8 Y 3.03-3.23